## KPuTeSe3 (PBE-GGA)

Data for a relaxed structure of KPuTeSe3.

a b c (Å): 4.171 8.574 10.157
angles (deg): 98.98 90.00 90.00
Last column: magnetic moment on the atom in μB.
Sites, in units of the cell vectors:
K (0.250, 0.183, 0.265)  0.00
K (0.750, 0.817, 0.735)  0.00
Se (0.750, 0.408, 0.126)  -0.13
Se (0.250, 0.592, 0.874)  -0.13
Se (0.750, 0.418, 0.537)  0.02
Se (0.750, 0.880, 0.122)  -0.05
Se (0.250, 0.120, 0.878)  -0.05
Se (0.250, 0.582, 0.463)  0.02
Te (0.750, 0.825, 0.368)  -0.06
Te (0.250, 0.175, 0.632)  -0.06
Pu (0.750, 0.361, 0.838)  4.99
Pu (0.250, 0.639, 0.162)  4.99

Raw formation energy = -0.924 eV per atom